(1)
Density functional theory data (PBE) for a relaxed structure of V2NiSe6.

Calculated values
Final energy   -5.379 eV/atom
Formation energy from raw total energies   -0.39 eV/atom

Cell lengths 5.8529, 5.8529, 10.5993 Å; angles 90.00, 90.00, 90.00 degrees
Last column: nearest neighbours and their distance in Å.
Positions (direct):
Se1 0.3060 0.3060 0.1721  1 Ni 2.43, 2 V 2.48-2.54
Se2 0.6940 0.6940 0.8279  1 Ni 2.43, 2 V 2.48-2.54
Se3 0.7863 0.2137 0.0000  1 Ni 2.37, 2 V 2.38
Se4 0.1940 0.8060 0.3279  1 Ni 2.43, 2 V 2.48-2.54
Se5 0.2137 0.7863 0.0000  1 Ni 2.37, 2 V 2.38
Se6 0.6940 0.6940 0.1721  1 Ni 2.43, 2 V 2.48-2.54
Se7 0.3060 0.3060 0.8279  1 Ni 2.43, 2 V 2.48-2.54
Se8 0.8060 0.1940 0.6721  1 Ni 2.43, 2 V 2.48-2.54
Se9 0.8060 0.1940 0.3279  1 Ni 2.43, 2 V 2.48-2.54
Se10 0.1940 0.8060 0.6721  1 Ni 2.43, 2 V 2.48-2.54
Se11 0.7137 0.7137 0.5000  1 Ni 2.37, 2 V 2.38
Se12 0.2863 0.2863 0.5000  1 Ni 2.37, 2 V 2.38
Ni1 0.0000 0.0000 0.5000  6 Se 2.37-2.43
Ni2 0.5000 0.5000 0.0000  6 Se 2.37-2.43
V1 0.0000 0.0000 0.1501  6 Se 2.38-2.54
V2 0.0000 0.0000 0.8499  6 Se 2.38-2.54
V3 0.5000 0.5000 0.3499  6 Se 2.38-2.54
V4 0.5000 0.5000 0.6501  6 Se 2.38-2.54

---

(2)
Density functional theory data (PBE) for a relaxed structure of VNiSe.

Calculated values
Final energy   -6.295 eV/atom
Formation energy from raw total energies   -0.17 eV/atom
ΔE to the lowest computed polymorph   0.207 eV/atom

Cell lengths 5.7672, 3.4494, 8.4495 Å; angles 90.00, 90.25, 90.00 degrees
Last column: nearest neighbours and their distance in Å.
Positions (direct):
V1 0.1287 0.5000 0.7524  5 Se 2.49-2.58, 1 Ni 2.52
V2 0.7692 0.5000 0.4639  4 Se 2.47-2.49, 4 Ni 2.63-2.73
V3 0.1287 0.0000 0.2524  5 Se 2.49-2.58, 1 Ni 2.52
V4 0.7692 0.0000 0.9639  4 Se 2.47-2.49, 4 Ni 2.63-2.73
Ni1 0.5648 0.5000 0.7749  2 Se 2.41, 3 V 2.52-2.63, 3 Ni 2.53-2.62
Ni2 0.5648 0.0000 0.2749  2 Se 2.41, 3 V 2.52-2.63, 3 Ni 2.53-2.62
Ni3 0.4300 0.5000 0.0599  3 Se 2.34-2.42, 1 Ni 2.53
Ni4 0.4300 0.0000 0.5599  3 Se 2.34-2.42, 1 Ni 2.53
Se1 0.1972 0.0000 0.9619  2 Ni 2.34, 4 V 2.47-2.50
Se2 0.8165 0.5000 0.1737  3 Ni 2.41-2.42, 5 V 2.47-2.58
Se3 0.8165 0.0000 0.6737  3 Ni 2.41-2.42, 5 V 2.47-2.58
Se4 0.1972 0.5000 0.4619  2 Ni 2.34, 4 V 2.47-2.50

---

(3)
Density functional theory data (PBE) for a relaxed structure of VNiSe2.

Calculated values
Final energy   -5.793 eV/atom
Formation energy from raw total energies   -0.33 eV/atom
ΔE to the lowest computed polymorph   0.168 eV/atom

Cell lengths 5.5048, 5.5048, 6.7766 Å; angles 66.04, 66.04, 90.00 degrees
Last column: nearest neighbours and their distance in Å.
Positions (direct):
Se1 0.8750 0.8853 0.7500  2 Ni 2.36, 2 V 2.42
Se2 0.3750 0.3647 0.7500  2 Ni 2.36, 2 V 2.42
Se3 0.6353 0.1250 0.2500  2 Ni 2.36, 2 V 2.42
Se4 0.1147 0.6250 0.2500  2 Ni 2.36, 2 V 2.42
V1 0.5000 0.5000 0.0000  4 Se 2.42
V2 0.2500 0.7500 0.5000  4 Se 2.42
Ni1 0.7500 0.2500 0.5000  4 Se 2.36
Ni2 0.0000 0.0000 0.0000  4 Se 2.36

---

(4)
Density functional theory data (PBE) for a relaxed structure of VZnNi2Se.

Calculated values
Final energy   -4.020 eV/atom
Formation energy from raw total energies   1.07 eV/atom

Cell lengths 4.3596, 4.7993, 4.3596 Å; angles 90.00, 90.00, 90.00 degrees
Last column: nearest neighbours and their distance in Å.
Positions (direct):
Zn1 0.0000 0.5000 0.0000  2 V 2.40
Se1 0.5000 0.5000 0.5000  4 Zn 3.08, 8 Ni 3.24
Ni1 0.5000 0.0000 0.0000  2 V 2.18
Ni2 0.0000 0.0000 0.5000  2 V 2.18
V1 0.0000 0.0000 0.0000  4 Ni 2.18, 2 Zn 2.40

---

(5)
Density functional theory data (PBE) for a relaxed structure of Ni2WSe.

Calculated values
Final energy   -6.822 eV/atom
Formation energy from raw total energies   0.18 eV/atom

Cell lengths 2.7453, 2.7453, 7.4703 Å; angles 90.00, 90.00, 89.90 degrees
Last column: nearest neighbours and their distance in Å.
Positions (direct):
Ni1 0.0000 0.0000 0.9910  4 W 2.65, 4 Se 2.74, 4 Ni 2.75
Ni2 0.0000 0.0000 0.5090  4 W 2.65, 4 Se 2.74, 4 Ni 2.75
Se1 0.5000 0.5000 0.2500  8 Ni 2.74, 4 Se 2.75
W1 0.5000 0.5000 0.7500  8 Ni 2.65, 4 W 2.75

---

(6)
Density functional theory data (PBE) for a relaxed structure of NiW2Se2.

Calculated values
Final energy   -7.175 eV/atom
Formation energy from raw total energies   0.56 eV/atom
ΔE to the lowest computed polymorph   0.000 eV/atom

Cell lengths 6.7111, 6.7111, 3.6332 Å; angles 90.00, 90.00, 90.00 degrees
Last column: nearest neighbours and their distance in Å.
Positions (direct):
Ni1 0.0000 0.0000 0.0000  4 W 2.59
Ni2 0.5000 0.5000 0.0000  4 W 2.59
Se1 0.1575 0.6575 0.5000  6 W 2.65-2.70
Se2 0.8425 0.3425 0.5000  6 W 2.65-2.70
Se3 0.6575 0.8425 0.5000  6 W 2.65-2.70
Se4 0.3425 0.1575 0.5000  6 W 2.65-2.70
W1 0.8607 0.6393 0.0000  2 Ni 2.59, 1 W 2.64, 6 Se 2.65-2.70
W2 0.6393 0.1393 0.0000  2 Ni 2.59, 1 W 2.64, 6 Se 2.65-2.70
W3 0.1393 0.3607 0.0000  2 Ni 2.59, 1 W 2.64, 6 Se 2.65-2.70
W4 0.3607 0.8607 0.0000  2 Ni 2.59, 1 W 2.64, 6 Se 2.65-2.70